Record 1
Entry from Alexandria via LeMat-Bulk: a relaxed CoGe2S crystal (PBE).

Cell: 6.5897 6.5897 6.5897 Å, 130.11 130.11 73.24°
Atoms (fractional coordinates):
Co (0.0000, 0.0000, 0.0000)
Co (0.7500, 0.2500, 0.5000)
Ge (0.0874, 0.6250, 0.9624)
Ge (0.3750, 0.3374, 0.4624)
Ge (0.6626, 0.1250, 0.0376)
Ge (0.8750, 0.9126, 0.5376)
S (0.2500, 0.7500, 0.5000)
S (0.5000, 0.5000, 0.0000)


Record 2
Entry from Alexandria via LeMat-Bulk: a relaxed CoGeS2 crystal (PBE).

Cell: 7.3354 7.3354 7.3354 Å, 27.99 27.99 27.99°
Atoms (fractional coordinates):
Co (0.0000, 0.0000, 0.0000)
Ge (0.5000, 0.5000, 0.5000)
S (0.0998, 0.0998, 0.0998)
S (0.9002, 0.9002, 0.9002)


Record 3
Entry from Alexandria via LeMat-Bulk: a relaxed CoGeS2 crystal (PBE).

Cell: 6.4778 6.4778 6.4778 Å, 130.86 130.86 72.03°
Atoms (fractional coordinates):
Co (0.0000, 0.0000, 0.0000)
Co (0.7500, 0.2500, 0.5000)
Ge (0.2500, 0.7500, 0.5000)
Ge (0.5000, 0.5000, 0.0000)
S (0.0710, 0.6250, 0.9460)
S (0.3750, 0.3210, 0.4460)
S (0.6790, 0.1250, 0.0540)
S (0.8750, 0.9290, 0.5540)


Record 4
Entry from Alexandria via LeMat-Bulk: a relaxed CoGeS3 crystal (PBE).

Cell: 4.4666 4.4666 4.4666 Å, 90.00 90.00 90.00°
Atoms (fractional coordinates):
Co (0.0000, 0.0000, 0.0000)
Ge (0.5000, 0.5000, 0.5000)
S (0.0000, 0.0000, 0.5000)
S (0.0000, 0.5000, 0.0000)
S (0.5000, 0.0000, 0.0000)


Record 5
Entry from Alexandria via LeMat-Bulk: a relaxed CoGeS crystal (PBE).

Cell: 5.7511 5.7064 5.7761 Å, 90.00 112.43 90.00°
Atoms (fractional coordinates):
Co (0.2070, 0.0115, 0.1983)
Co (0.2070, 0.4885, 0.6983)
Co (0.7930, 0.5115, 0.3017)
Co (0.7930, 0.9885, 0.8017)
Ge (0.3552, 0.6359, 0.1263)
Ge (0.3552, 0.8641, 0.6263)
Ge (0.6448, 0.1359, 0.3737)
Ge (0.6448, 0.3641, 0.8737)
S (0.1540, 0.1309, 0.8204)
S (0.1540, 0.3691, 0.3204)
S (0.8460, 0.6309, 0.6796)
S (0.8460, 0.8691, 0.1796)


Record 6
Entry from Alexandria via LeMat-Bulk: a relaxed CoGe2S crystal (PBE).

Cell: 5.5884 5.1888 10.7265 Å, 90.00 117.89 90.00°
Atoms (fractional coordinates):
Co (0.1201, 0.0173, 0.3548)
Co (0.1201, 0.4827, 0.8548)
Co (0.8799, 0.5173, 0.1452)
Co (0.8799, 0.9827, 0.6452)
Ge (0.0686, 0.7374, 0.5257)
Ge (0.0686, 0.7626, 0.0257)
Ge (0.4928, 0.2395, 0.0480)
Ge (0.4928, 0.2605, 0.5480)
Ge (0.5072, 0.7395, 0.4520)
Ge (0.5072, 0.7605, 0.9520)
Ge (0.9314, 0.2374, 0.9743)
Ge (0.9314, 0.2626, 0.4743)
S (0.2543, 0.2179, 0.7429)
S (0.2543, 0.2821, 0.2429)
S (0.7457, 0.7179, 0.7571)
S (0.7457, 0.7821, 0.2571)


Record 7
Entry from Alexandria via LeMat-Bulk: a relaxed Co2GeS4 crystal (PBE).

Cell: 7.3059 7.3059 7.3059 Å, 129.43 129.43 74.32°
Atoms (fractional coordinates):
Co (0.0000, 0.0000, 0.0000)
Co (0.5000, 0.0000, 0.0000)
Co (0.5000, 0.0000, 0.5000)
Co (0.5000, 0.5000, 0.5000)
Ge (0.1250, 0.3750, 0.7500)
Ge (0.8750, 0.6250, 0.2500)
S (0.1192, 0.0071, 0.7928)
S (0.1735, 0.3808, 0.3879)
S (0.2856, 0.6735, 0.2928)
S (0.4929, 0.7856, 0.1121)
S (0.5071, 0.2144, 0.8879)
S (0.7144, 0.3265, 0.7072)
S (0.8265, 0.6192, 0.6121)
S (0.8808, 0.9929, 0.2072)


Record 8
Entry from Alexandria via LeMat-Bulk: a relaxed Th4CoGeS2 crystal (PBE).

Cell: 7.1438 4.0409 7.3467 Å, 90.00 109.07 90.00°
Atoms (fractional coordinates):
Th (0.2275, 0.0000, 0.2267)
Th (0.2507, 0.5000, 0.7585)
Th (0.7493, 0.5000, 0.2415)
Th (0.7725, 0.0000, 0.7733)
Co (0.0000, 0.5000, 0.0000)
Ge (0.0000, 0.0000, 0.5000)
S (0.5000, 0.0000, 0.0000)
S (0.5000, 0.5000, 0.5000)


Record 9
Entry from Alexandria via LeMat-Bulk: a relaxed TiCo2GeS crystal (PBE).

Cell: 4.3038 4.3038 4.9136 Å, 90.00 90.00 90.00°
Atoms (fractional coordinates):
Ti (0.0000, 0.0000, 0.0000)
Co (0.0000, 0.5000, 0.5000)
Co (0.5000, 0.0000, 0.5000)
Ge (0.0000, 0.0000, 0.5000)
S (0.5000, 0.5000, 0.0000)


Record 10
Entry from Alexandria via LeMat-Bulk: a relaxed CoGe2WS crystal (PBE).

Cell: 4.3036 4.3036 4.9401 Å, 90.00 90.00 90.00°
Atoms (fractional coordinates):
Co (0.0000, 0.0000, 0.0000)
Ge (0.0000, 0.5000, 0.0000)
Ge (0.5000, 0.0000, 0.0000)
W (0.0000, 0.0000, 0.5000)
S (0.5000, 0.5000, 0.5000)


Record 11
Entry from Alexandria via LeMat-Bulk: a relaxed CoGeSb crystal (PBE).

Cell: 3.3693 3.3693 5.5313 Å, 90.00 90.00 120.00°
Atoms (fractional coordinates):
Co (0.0000, 0.0000, 0.0000)
Ge (0.3333, 0.6667, 0.2515)
Sb (0.6667, 0.3333, 0.6965)

## Properties
* ΔE to the lowest computed polymorph: 142 meV/atom


Record 12
Entry from Alexandria via LeMat-Bulk: a relaxed Co3GeSb crystal (PBE).

Cell: 4.3688 4.3688 4.3688 Å, 90.00 90.00 90.00°
Atoms (fractional coordinates):
Co (0.0000, 0.0000, 0.5000)
Co (0.0000, 0.5000, 0.0000)
Co (0.5000, 0.0000, 0.0000)
Ge (0.0000, 0.0000, 0.0000)
Sb (0.5000, 0.5000, 0.5000)

## Properties
* ΔE to the lowest computed polymorph: 0 meV/atom


Ordered energy relative to the elements, uncorrected results: 0.1500; 0.1363; -0.1080; 0.3420; -0.4037; -0.0341; -0.1112; -1.1264; 0.7073; 0.7903; 0.0927; 0.6537; unit eV/atom.